(1)
Entry from the Alexandria database: an optimized crystal structure of La6SbAs3P2 (PBE).

Cell lengths 9.805, 9.805, 8.793 Å; angles 102.85, 102.85, 25.83 degrees
Positions (direct):
1 La 0.003 0.003 0.263
2 La 0.328 0.328 0.909
3 La 0.331 0.331 0.420
4 La 0.669 0.669 0.580
5 La 0.672 0.672 0.091
6 La 0.997 0.997 0.737
7 Sb 0.500 0.500 0.000
8 As 0.165 0.165 0.831
9 As 0.500 0.500 0.500
10 As 0.835 0.835 0.169
11 P 0.168 0.168 0.336
12 P 0.832 0.832 0.664

Computed properties:
energy relative to the elements, uncorrected: -18.03 eV per formula unit

***

(2)
Entry from the Alexandria database: an optimized crystal structure of AcCd12Au4 (PBE).

Cell lengths 8.396, 8.396, 8.396 Å; angles 109.47, 109.47, 109.47 degrees
Positions (direct):
1 Ac 0.000 0.000 0.000
2 Cd 0.155 0.505 0.350
3 Cd 0.155 0.805 0.650
4 Cd 0.195 0.350 0.845
5 Cd 0.350 0.155 0.505
6 Cd 0.350 0.845 0.195
7 Cd 0.495 0.650 0.845
8 Cd 0.505 0.350 0.155
9 Cd 0.650 0.155 0.805
10 Cd 0.650 0.845 0.495
11 Cd 0.805 0.650 0.155
12 Cd 0.845 0.195 0.350
13 Cd 0.845 0.495 0.650
14 Au 0.000 0.000 0.500
15 Au 0.000 0.500 0.000
16 Au 0.500 0.000 0.000
17 Au 0.500 0.500 0.500

Computed properties:
ΔE_f: -50 meV/atom

***

(3)
Entry from the Alexandria database: an optimized crystal structure of Ti6FeOs (PBE).

Cell lengths 7.392, 7.392, 7.392 Å; angles 146.21, 146.21, 48.53 degrees
Positions (direct):
1 Ti 0.112 0.612 0.500
2 Ti 0.250 0.250 0.000
3 Ti 0.388 0.888 0.500
4 Ti 0.612 0.112 0.500
5 Ti 0.750 0.750 0.000
6 Ti 0.888 0.388 0.500
7 Fe 0.000 0.000 0.000
8 Os 0.500 0.500 0.000

Computed properties:
ΔE_f: -246 meV/atom

***

Number 1: calculated volume 29.88 A^3/atom. Number 2: calculated volume 26.80 A^3/atom. Number 3: calculated volume 15.55 A^3/atom.